First-principles (PBE) data for a geometry-optimized Dy2Er5Sc4 structure, as listed in Alexandria via LeMat-Bulk.

a = 8.6449 Å, b = 3.4889 Å, c = 10.6944 Å
α = 90.00°, β = 94.96°, γ = 90.00°
Space group P2/m (No. 10)
Asymmetric unit:
1 Dy 0.0756 0.0000 0.1370 [2 per cell]
2 Er 0.1475 0.0000 0.6329 [2 per cell]
3 Er 0.4535 0.0000 0.1673 [2 per cell]
4 Er 0.5000 0.0000 0.5000 [1 per cell]
5 Sc 0.2015 0.5000 0.3717 [2 per cell]
6 Sc 0.2488 0.5000 0.9259 [2 per cell]

Results
ΔE_f	0.112	eV/atom
total DFT energy (no corrections)	-5.101	eV per atom
crystal system	monoclinic
V	29.21	Å³ per atom